Computed, not measured: Na2PuThN4 after structural relaxation at the PBE level of DFT.

```
Na2PuThN4
1.0
3.5946 0.0000 0.0000
0.0000 6.1830 0.1226
0.0000 -2.1664 5.6414
Na Th N Pu
2 1 4 1
Direct
0.0000 0.5000 0.5000
0.5000 0.0000 0.5000
0.5000 0.5000 0.0000
0.5000 0.2166 0.1883
0.0000 0.7675 0.1802
0.0000 0.2325 0.8198
0.5000 0.7834 0.8117
0.0000 0.0000 0.0000
```

Properties
formation energy (no corrections)	-6.8	eV/f.u.
crystal system	monoclinic
space-group type	P2/m (10)

Computed, not measured: MgReHg3 after structural relaxation at the PBE level of DFT.

```
MgReHg3
1.0
-4.2671 2.6573 1.7592
-3.0389 -4.2782 -0.9090
0.9596 -1.7321 4.9440
Hg Mg Re
3 1 1
Direct
0.0000 0.0000 0.5000
0.0000 0.5000 0.0000
0.5000 0.0000 0.0000
0.5000 0.5000 0.5000
0.0000 0.0000 0.0000
```

Properties
energy above the lowest structure with this stoichiometry	0.00	eV per formula unit
formation enthalpy at 0 K	0.9092	eV/atom
crystal system	cubic
space-group type	Pm-3m (221)

Computed, not measured: Sc2P3Rh5 after structural relaxation at the PBE level of DFT.

```
Sc2P3Rh5
1.0
-1.3869 -0.7275 -3.6564
-0.0021 -6.1297 1.2204
-10.3846 1.1721 5.8692
Sc P Rh
4 6 10
Direct
0.4801 0.7910 0.9601
0.5199 0.2910 0.0399
0.1744 0.7246 0.3488
0.8256 0.2246 0.6512
0.7806 0.6629 0.5612
0.9563 0.5031 0.9125
0.3907 0.0326 0.7814
0.2194 0.1629 0.4388
0.6093 0.5326 0.2186
0.0437 0.0031 0.0875
0.7232 0.9658 0.4463
0.4030 0.4151 0.8060
0.6991 0.3966 0.3982
0.8793 0.7466 0.7586
0.9453 0.1265 0.8906
0.0547 0.6265 0.1094
0.5970 0.9151 0.1940
0.2768 0.4658 0.5537
0.3009 0.8966 0.6018
0.1207 0.2466 0.2414
```

Properties
formation enthalpy at 0 K	-0.9912	eV/atom
crystal system	orthorhombic
space-group type	Cmc2_1 (36)

Computed, not measured: LiCeHo2 after structural relaxation at the PBE level of DFT.

```
LiCeHo2
1.0
3.5842 0.0000 0.0000
0.0000 5.5529 0.0000
0.0000 0.0000 5.5529
Ho Li Ce
2 1 1
Direct
0.0000 0.5000 0.0000
0.0000 0.0000 0.5000
0.5000 0.0000 0.0000
0.5000 0.5000 0.5000
```

Properties
energy above the lowest structure with this stoichiometry	0.36	eV per formula unit
formation enthalpy at 0 K	0.1968	eV/atom
crystal system	tetragonal
space-group type	P4/mmm (123)

Computed, not measured: KMg6BiO8 after structural relaxation at the PBE level of DFT.

```
KMg6BiO8
1.0
-0.6631 -4.1380 -1.8930
4.1371 -1.3449 1.4907
-3.7231 -2.9236 7.6948
Bi Mg O K
1 6 8 1
Direct
0.5000 0.5000 0.0000
0.0000 0.5000 0.7282
0.5000 0.5000 0.5000
0.0000 0.0000 0.5000
0.5000 0.0000 0.7282
0.0000 0.5000 0.2718
0.5000 0.0000 0.2718
0.0000 0.0000 0.7199
0.0000 0.0000 0.2801
0.5000 0.0000 0.0000
0.0000 0.5000 0.0000
0.5000 0.0000 0.5000
0.0000 0.5000 0.5000
0.5000 0.5000 0.7299
0.5000 0.5000 0.2701
0.0000 0.0000 0.0000
```

Properties
energy above the lowest structure with this stoichiometry	0.00	eV per formula unit
formation energy (no corrections)	-33.2	eV/f.u.
crystal system	tetragonal
space-group type	P4/mmm (123)

Computed, not measured: Ta2SiMo after structural relaxation at the PBE level of DFT.

```
Ta2SiMo
1.0
-1.6889 -1.5852 1.5623
0.4519 -2.1646 -1.7078
6.5613 -2.3474 4.7115
Si Ta Mo
1 2 1
Direct
0.5000 0.5000 0.7442
0.5000 0.5000 0.2553
0.0000 0.0000 0.9727
0.0000 0.0000 0.5279
```

Properties
formation energy (no corrections)	0.1	eV/f.u.
crystal system	tetragonal
space-group type	P4mm (99)

Computed, not measured: Cr7Ir6 after structural relaxation at the PBE level of DFT.

```
Cr7Ir6
1.0
-8.6157 1.4849 -2.6332
-7.0766 -2.0079 -5.4091
-8.5766 -2.9559 -1.0359
Cr Ir
7 6
Direct
0.5000 0.5000 0.5000
0.4063 0.9161 0.4063
0.5937 0.5937 0.0839
0.9161 0.4063 0.4063
0.0839 0.5937 0.5937
0.4063 0.4063 0.9161
0.5937 0.0839 0.5937
0.1520 0.1520 0.1520
0.8480 0.8480 0.8480
0.0481 0.0481 0.0481
0.6628 0.6628 0.6628
0.9519 0.9519 0.9519
0.3372 0.3372 0.3372
```

Properties
formation enthalpy at 0 K	-0.1186	eV/atom
crystal system	trigonal
space-group type	R-3m (166)

Computed, not measured: Ho2TaSi4Pt3 after structural relaxation at the PBE level of DFT.

```
Ho2TaSi4Pt3
1.0
4.1485 0.0000 0.0000
0.0000 4.1485 0.0000
0.0000 0.0000 10.3331
Si Ta Pt Ho
4 1 3 2
Direct
0.5000 0.0000 0.6463
0.0000 0.0000 0.0000
0.5000 0.5000 0.0000
0.0000 0.5000 0.3537
0.5000 0.5000 0.5000
0.5000 0.0000 0.8783
0.0000 0.5000 0.1217
0.0000 0.0000 0.5000
0.0000 0.5000 0.7601
0.5000 0.0000 0.2399
```

Properties
formation energy (no corrections)	-9.4	eV/f.u.
crystal system	tetragonal
space-group type	P-4m2 (115)

Computed, not measured: Tc2PAu after structural relaxation at the PBE level of DFT.

```
Tc2PAu
1.0
1.4810 -2.3164 0.0000
1.4810 2.3164 0.0000
0.0000 0.0000 9.3439
P Tc Au
1 2 1
Direct
0.5000 0.5000 0.2097
0.0000 0.0000 0.0070
0.5000 0.5000 0.7743
0.0000 0.0000 0.5090
```

Properties
formation enthalpy at 0 K	0.3423	eV/atom
crystal system	orthorhombic
space-group type	Cmm2 (35)

Computed, not measured: LiCaSe after structural relaxation at the PBE level of DFT.

```
LiCaSe
1.0
4.7206 0.0000 0.0000
2.3603 4.0882 0.0000
2.3603 1.3627 3.8544
Se Li Ca
1 1 1
Direct
0.7500 0.7500 0.7500
0.5000 0.5000 0.5000
0.0000 0.0000 0.0000
```

Properties
energy above the lowest structure with this stoichiometry	0.26	eV per formula unit
formation energy (no corrections)	-3.1	eV/f.u.
crystal system	cubic
space-group type	F-43m (216)

Computed, not measured: Re2Rh after structural relaxation at the PBE level of DFT.

```
Re2Rh
1.0
-2.6310 -1.7587 2.7159
13.3129 -3.3979 10.6966
-0.3548 2.3800 1.1976
Rh Re
4 8
Direct
0.2500 0.8835 0.5000
0.7500 0.3835 0.0000
0.2500 0.6165 0.0000
0.7500 0.1165 0.5000
0.7500 0.8137 0.0000
0.7500 0.5377 0.5000
0.2500 0.4623 0.5000
0.7500 0.6863 0.5000
0.2500 0.1863 0.0000
0.7500 0.9623 0.0000
0.2500 0.3137 0.5000
0.2500 0.0377 0.0000
```

Properties
energy above the lowest structure with this stoichiometry	1.79	eV per formula unit
formation enthalpy at 0 K	0.4610	eV/atom
crystal system	orthorhombic
space-group type	Imma (74)